Entry 1:
## Dy8Tl (PBE)

Data for a relaxed structure of Dy8Tl.

POSCAR file:
```
Dy8Tl
1.0
4.879 0.000 0.000
2.439 7.496 0.000
2.439 0.000 7.496
Dy Tl
8 1
Cartesian
2.439 2.431 0.000 Dy
2.439 4.979 2.517 Dy
2.439 0.000 2.431 Dy
4.879 4.979 4.979 Dy
4.879 5.065 0.000 Dy
4.879 0.000 5.065 Dy
2.439 2.517 4.979 Dy
4.879 2.517 2.517 Dy
0.000 0.000 0.000 Tl
```

Magnetic moment in μB/f.u.: 0.0
Theoretical density in g/cm³: 9.11
Energy of formation from the pure elements in eV per atom: -0.0392

Entry 2:
## TaZn2Te (PBE)

Data for a relaxed structure of TaZn2Te.

POSCAR file:
```
TaZn2Te
1.0
-0.952 2.209 -2.548
-2.570 -2.190 -0.938
-3.736 2.761 3.788
Te Ta Zn
1 1 2
Cartesian
-4.511 2.042 1.046 Te
-1.830 1.352 1.856 Ta
-2.651 0.668 -0.841 Zn
-0.133 0.098 0.135 Zn
```

Magnetic moment in μB/f.u.: 0.0
Raw formation energy in eV per atom: 0.07
Theoretical density in g/cm³: 9.91

Entry 3:
## LaTbRh (PBE)

Data for a relaxed structure of LaTbRh.

POSCAR file:
```
LaTbRh
1.0
6.511 0.000 0.000
0.000 6.938 0.950
0.000 4.413 8.336
Rh Tb La
4 4 4
Cartesian
5.542 5.064 6.794 Rh
0.968 6.287 2.493 Rh
4.223 2.858 2.625 Rh
2.287 8.493 6.661 Rh
5.961 1.590 0.996 Tb
0.550 9.761 8.291 Tb
2.705 7.555 4.123 Tb
3.805 3.796 5.164 Tb
2.649 6.121 7.850 La
0.606 3.915 3.681 La
5.905 7.436 5.605 La
3.861 5.230 1.437 La
```

Magnetic moment in μB/f.u.: 0.0
Theoretical density in g/cm³: 7.62
Energy of formation from the pure elements in eV per atom: -0.4671

Entry 4:
## Sr2AcCd2Pb2 (PBE)

Data for a relaxed structure of Sr2AcCd2Pb2.

POSCAR file:
```
Sr2AcCd2Pb2
1.0
-3.370 -4.011 -0.639
1.701 -4.584 -1.986
1.450 -5.963 7.994
Pb Sr Cd Ac
2 2 2 1
Cartesian
-0.152 -3.489 0.910 Pb
-0.066 -11.070 4.459 Pb
-0.858 -9.848 0.961 Sr
0.639 -4.711 4.409 Sr
-0.551 -6.598 0.733 Cd
0.332 -7.961 4.636 Cd
0.000 0.000 0.000 Ac
```

Magnetic moment in μB/f.u.: 0.0
Theoretical density in g/cm³: 7.46
Energy of formation from the pure elements in eV per atom: -0.3087

Entry 5:
## CeTmSc2As4 (PBE)

Data for a relaxed structure of CeTmSc2As4.

POSCAR file:
```
CeTmSc2As4
1.0
-4.004 -0.127 -0.321
0.420 -6.348 -2.729
-0.258 -4.734 5.086
Ce Sc Tm As
1 2 1 4
Cartesian
-1.792 -3.237 -1.525 Ce
-0.258 -4.734 5.086 Sc
-2.131 -2.430 2.382 Sc
0.081 -5.541 1.179 Tm
-3.973 -2.835 0.361 As
-1.746 -6.084 -0.980 As
-2.097 -5.125 3.016 As
0.131 -8.374 1.676 As
```

Magnetic moment in μB/f.u.: 0.5
Theoretical density in g/cm³: 6.36
Energy of formation from the pure elements in eV per atom: -1.4078

Entry 6:
## TbThNi (PBE)

Data for a relaxed structure of TbThNi.

POSCAR file:
```
TbThNi
1.0
-2.529 -0.508 -4.063
1.753 -2.658 -3.609
-2.016 -4.238 -1.066
Ni Tb Th
1 1 1
Cartesian
-0.698 -1.851 -2.185 Ni
0.000 0.000 0.000 Tb
-1.396 -3.702 -4.369 Th
```

Magnetic moment in μB/f.u.: 0.0
Theoretical density in g/cm³: 9.47
Energy of formation from the pure elements in eV per atom: -0.0342